TaBeIn2, relaxed, DFT PBE; V = 18.640 Å³/atom; energy = -4.8241 eV/atom
1.0
4.303 0.000 0.000
0.000 3.008 -0.022
0.000 0.050 5.759
Be In Ta
1 2 1
Direct
0.500 0.750 0.750 Be
0.000 0.752 0.998 In
0.000 0.748 0.502 In
0.500 0.250 0.250 Ta